# 1
Computed, not measured: a geometry-optimized Er3TlIn2 structure at the PBE level of DFT.

## Properties
N(E_F)	0.531	states/eV per atom
energy of formation	-400	meV per atom
E above lowest polymorph	0.0	kJ/mol of atoms
space group	P4/mmm, No. 123
theoretical density	9.85	Mg/m³
total moment	0.000	μB per atom

a b c (Å): 3.625 3.625 12.012
angles (deg): 90.00 90.00 90.00
Positions (direct):
Er 0.000 0.000 0.000
Er 0.000 0.000 0.670
Er 0.000 0.000 0.330
Tl 0.500 0.500 0.500
In 0.500 0.500 0.834
In 0.500 0.500 0.166

=====

# 2
Computed, not measured: a geometry-optimized Er4Tl5In structure at the PBE level of DFT.

## Properties
N(E_F)	0.793	states/eV per atom
energy of formation	-25	meV per atom
E above lowest polymorph	24.7	kJ/mol of atoms
space group	Pmmn, No. 59
theoretical density	10.08	Mg/m³
total moment	0.000	μB per atom

a b c (Å): 7.704 10.241 7.545
angles (deg): 90.00 90.00 90.00
Positions (direct):
Er 0.796 0.000 0.747
Er 0.518 0.683 0.000
Er 0.518 0.317 0.000
Er 0.796 0.000 0.253
Er 0.204 0.500 0.247
Er 0.482 0.817 0.500
Er 0.482 0.183 0.500
Er 0.204 0.500 0.753
Tl 0.186 0.805 0.800
Tl 0.186 0.195 0.800
Tl 0.886 0.500 0.000
Tl 0.186 0.805 0.200
Tl 0.186 0.195 0.200
Tl 0.814 0.695 0.300
Tl 0.814 0.305 0.300
Tl 0.114 0.000 0.500
Tl 0.814 0.305 0.700
Tl 0.814 0.695 0.700
In 0.470 0.000 0.000
In 0.530 0.500 0.500

=====

# 3
Computed, not measured: a geometry-optimized Er11Tl9In4 structure at the PBE level of DFT.

## Properties
N(E_F)	0.705	states/eV per atom
energy of formation	-308	meV per atom
space group	Cmmm, No. 65
theoretical density	10.73	Mg/m³
total moment	0.033	μB per atom

a b c (Å): 3.567 13.547 13.547
angles (deg): 102.03 90.00 90.00
Each line ends with the local moment (μB).
Positions (direct):
Er 0.000 0.593 0.932  0.14
Er 0.000 0.407 0.068  0.14
Er 0.000 0.932 0.593  0.14
Er 0.000 0.068 0.407  0.14
Er 0.000 0.636 0.364  -0.03
Er 0.000 0.364 0.636  -0.03
Er 0.000 0.814 0.186  -0.06
Er 0.000 0.186 0.814  -0.06
Er 0.000 0.000 0.000  -0.04
Er 0.000 0.771 0.771  0.14
Er 0.000 0.229 0.229  0.14
Tl 0.500 0.610 0.146  0.00
Tl 0.500 0.390 0.854  0.00
Tl 0.500 0.146 0.610  0.00
Tl 0.500 0.854 0.390  0.00
Tl 0.500 0.797 0.980  0.00
Tl 0.500 0.203 0.020  0.00
Tl 0.500 0.980 0.797  0.00
Tl 0.500 0.020 0.203  0.00
Tl 0.500 0.500 0.500  0.00
In 0.500 0.571 0.731  0.00
In 0.500 0.429 0.269  0.00
In 0.500 0.731 0.571  0.00
In 0.500 0.269 0.429  0.00

=====

# 4
Computed, not measured: a geometry-optimized Er7TlIn5 structure at the PBE level of DFT.

## Properties
N(E_F)	0.932	states/eV per atom
energy of formation	-221	meV per atom
space group	Imm2, No. 44
theoretical density	8.86	Mg/m³
total moment	0.000	μB per atom

a b c (Å): 6.511 8.169 8.169
angles (deg): 79.64 66.51 66.51
Positions (direct):
Er 0.635 0.365 0.365
Er 0.296 0.704 0.704
Er 0.003 0.323 0.670
Er 0.003 0.670 0.323
Er 0.270 0.230 0.230
Er 0.514 0.804 0.167
Er 0.514 0.167 0.804
Tl 0.981 0.019 0.019
In 0.514 0.000 0.486
In 0.999 0.000 0.486
In 0.514 0.486 0.000
In 0.999 0.486 0.000
In 0.756 0.744 0.744

=====

# 5
Computed, not measured: a geometry-optimized Er2TlIn structure at the PBE level of DFT.

## Properties
N(E_F)	0.583	states/eV per atom
energy of formation	-377	meV per atom
space group	P4/mmm, No. 123
theoretical density	10.29	Mg/m³
total moment	0.000	μB per atom

a b c (Å): 3.721 3.721 7.615
angles (deg): 90.00 90.00 90.00
Positions (direct):
Tl 0.500 0.500 0.500
In 0.500 0.500 0.000
Er 0.000 0.000 0.753
Er 0.000 0.000 0.247

=====

# 6
Computed, not measured: a geometry-optimized Er6Tl3In structure at the PBE level of DFT.

## Properties
N(E_F)	0.972	states/eV per atom
energy of formation	-271	meV per atom
E above lowest polymorph	0.0	kJ/mol of atoms
space group	P2_1/m, No. 11
theoretical density	10.41	Mg/m³
total moment	0.002	μB per atom

a b c (Å): 5.123 9.796 11.338
angles (deg): 103.75 90.00 90.00
Positions (direct):
Er 0.250 0.445 0.091
Er 0.750 0.555 0.909
Er 0.250 0.129 0.189
Er 0.750 0.871 0.811
Er 0.250 0.651 0.680
Er 0.750 0.349 0.320
Er 0.250 0.241 0.506
Er 0.750 0.759 0.494
Er 0.250 0.837 0.309
Er 0.750 0.163 0.691
Er 0.250 0.107 0.886
Er 0.750 0.893 0.114
Tl 0.250 0.531 0.390
Tl 0.750 0.469 0.610
Tl 0.250 0.380 0.794
Tl 0.750 0.620 0.206
Tl 0.250 0.786 0.967
Tl 0.750 0.214 0.033
In 0.250 0.943 0.616
In 0.750 0.057 0.384

=====

# 7
Computed, not measured: a geometry-optimized ErTlIn structure at the PBE level of DFT.

## Properties
N(E_F)	0.555	states/eV per atom
energy of formation	-213	meV per atom
E above lowest polymorph	3.5	kJ/mol of atoms
space group	Cmcm, No. 63
theoretical density	10.29	Mg/m³
total moment	0.000	μB per atom

a b c (Å): 5.138 5.150 6.843
angles (deg): 90.00 90.00 119.92
Positions (direct):
Er 0.000 0.500 0.000
Er 0.000 0.500 0.500
Tl 0.666 0.833 0.750
Tl 0.334 0.167 0.250
In 0.667 0.833 0.250
In 0.333 0.167 0.750

=====

# 8
Computed, not measured: a geometry-optimized Er2TlIn4 structure at the PBE level of DFT.

## Properties
N(E_F)	0.585	states/eV per atom
energy of formation	-224	meV per atom
space group	C2/m, No. 12
theoretical density	8.64	Mg/m³
total moment	0.000	μB per atom

a b c (Å): 6.375 6.375 6.528
angles (deg): 119.14 119.14 90.31
Positions (direct):
Tl 0.786 0.786 0.571
In 0.786 0.786 0.072
In 0.286 0.286 0.071
In 0.786 0.286 0.071
In 0.286 0.786 0.071
Er 0.286 0.786 0.571
Er 0.786 0.286 0.571

=====

Q: What is the total moment in the sixth record?
A: 0.002 μB per atom

=====

Q: What is the N(E_F) in the second record?
A: 0.793 states/eV per atom